Record 1
VASP calculation (PBE) on YAsN2F after structural relaxation.

It has space group P4/mmm (No. 123), with a = 3.9554 Å, b = 3.9554 Å, c = 3.8917 Å, α = 90.00°, β = 90.00° and γ = 90.00°. The inequivalent atoms are Y at (0.0000, 0.0000, 0.0000), As at (0.5000, 0.5000, 0.5000), N at (0.0000, 0.5000, 0.5000) and F at (0.5000, 0.5000, 0.0000).



Record 2
VASP calculation (PBE) on YAsN2F after structural relaxation.

It has space group P4/mmm (No. 123), with a = 4.6134 Å, b = 4.6134 Å, c = 4.2020 Å, α = 90.00°, β = 90.00° and γ = 90.00°. The inequivalent atoms are Y at (0.0000, 0.0000, 0.0000), As at (0.5000, 0.5000, 0.5000), N at (0.0000, 0.5000, 0.0000) and F at (0.0000, 0.0000, 0.5000).



Record 3
VASP calculation (PBE) on ZnAsNF2 after structural relaxation.

It has space group P4/mmm (No. 123), with a = 4.1181 Å, b = 4.1181 Å, c = 4.0929 Å, α = 90.00°, β = 90.00° and γ = 90.00°. The inequivalent atoms are Zn at (0.0000, 0.0000, 0.0000), As at (0.5000, 0.5000, 0.5000), N at (0.5000, 0.5000, 0.0000) and F at (0.0000, 0.5000, 0.5000).



Record 4
VASP calculation (PBE) on ZnAsNF2 after structural relaxation.

It has space group P4/mmm (No. 123), with a = 3.7800 Å, b = 3.7800 Å, c = 4.5506 Å, α = 90.00°, β = 90.00° and γ = 90.00°. The inequivalent atoms are Zn at (0.0000, 0.0000, 0.0000), As at (0.5000, 0.5000, 0.5000), N at (0.0000, 0.0000, 0.5000) and F at (0.0000, 0.5000, 0.0000).



Record 5
VASP calculation (PBE) on ZnAsN2F after structural relaxation.

It has space group P4/mmm (No. 123), with a = 3.8099 Å, b = 3.8099 Å, c = 3.9203 Å, α = 90.00°, β = 90.00° and γ = 90.00°. The inequivalent atoms are Zn at (0.0000, 0.0000, 0.0000), As at (0.5000, 0.5000, 0.5000), N at (0.0000, 0.5000, 0.5000) and F at (0.5000, 0.5000, 0.0000).



Record 6
VASP calculation (PBE) on ZnAsN2F after structural relaxation.

It has space group P4/mmm (No. 123), with a = 3.9013 Å, b = 3.9013 Å, c = 3.8901 Å, α = 90.00°, β = 90.00° and γ = 90.00°. The inequivalent atoms are Zn at (0.0000, 0.0000, 0.0000), As at (0.5000, 0.5000, 0.5000), N at (0.0000, 0.5000, 0.0000) and F at (0.0000, 0.0000, 0.5000).



One value per record, in order, for DOS at the Fermi energy: 0.85, 2.00, 1.60, 1.56, 1.34, 2.21 states/eV per cell.
One value per record, in order, for energy relative to the elements, uncorrected: -2.66, 0.33, -1.48, -1.23, 2.76, 4.49 eV per formula unit.